## Li3LaCd2 (PBE)

Data for a relaxed structure of Li3LaCd2.

Properties
Crystal system: monoclinic
E_form, eV/atom: -0.19
Final energy, eV per atom: -2.27
Distance to the lowest polymorph of the same formula, meV/atom: 0.0
D(E_F), states/eV/atom: 0.68

a b c (Å): 14.297 4.674 9.821
angles (deg): 90.00 123.51 90.00
Space group C2/m (No. 12)
Unique sites:
Li (0.052, 0.000, 0.381) x4
Li (0.067, 0.500, 0.672) x4
Li (0.227, 0.500, 0.560) x4
La (0.140, 0.000, 0.020) x4
Cd (0.075, 0.500, 0.208) x4
Cd (0.188, 0.000, 0.715) x4